Material: TbCe2Rh
Method: DFT, PBE-GGA
State: optimized geometry

```
TbCe2Rh
1.0
1.8463 -5.6636 0.0000
1.8463 5.6636 0.0000
0.0000 0.0000 9.8648
Tb Ce Rh
2 4 2
Direct
0.0825 0.9175 0.7500 Tb
0.9175 0.0825 0.2500 Tb
0.3632 0.6368 0.5549 Ce
0.3632 0.6368 0.9451 Ce
0.6368 0.3632 0.0549 Ce
0.6368 0.3632 0.4451 Ce
0.2035 0.7965 0.2500 Rh
0.7965 0.2035 0.7500 Rh
```

Properties
total magnetic moment = 0.20 μB/atom
DFT formation energy = -0.392 eV/atom
space-group type = No. 63
excess energy over the best structure of this formula in the dataset = 0 meV/atom
electronic total energy = -6.354 eV per atom

Material: Li12Mg6In
Method: DFT, PBE-GGA
State: optimized geometry

```
Li12Mg6In
1.0
5.7903 3.3430 3.4128
-5.7903 3.3430 3.4128
0.0000 -6.6861 3.4128
Li Mg In
12 6 1
Direct
0.0000 0.2539 0.7461 Li
0.0000 0.7461 0.2539 Li
0.1822 0.5905 0.5905 Li
0.2539 0.0000 0.7461 Li
0.2539 0.7461 0.0000 Li
0.4095 0.4095 0.8178 Li
0.4095 0.8178 0.4095 Li
0.5905 0.1822 0.5905 Li
0.5905 0.5905 0.1822 Li
0.7461 0.0000 0.2539 Li
0.7461 0.2539 0.0000 Li
0.8178 0.4095 0.4095 Li
0.1553 0.1553 0.4245 Mg
0.1553 0.4245 0.1553 Mg
0.4245 0.1553 0.1553 Mg
0.5755 0.8447 0.8447 Mg
0.8447 0.5755 0.8447 Mg
0.8447 0.8447 0.5755 Mg
0.0000 0.0000 0.0000 In
```

Properties
total magnetic moment = 0.00 μB/atom
DFT formation energy = -0.036 eV/atom
space-group type = No. 166
excess energy over the best structure of this formula in the dataset = 7 meV/atom
electronic total energy = -1.892 eV per atom

Material: Na2ZnSnBr6
Method: DFT, PBE-GGA
State: optimized geometry

```
Na2ZnSnBr6
1.0
7.1940 0.0000 0.0000
-1.4469 7.5169 0.0000
-1.7316 -4.1071 6.3090
Na Zn Sn Br
2 1 1 6
Direct
0.0000 0.0000 0.0000 Na
0.2485 0.7742 0.3976 Na
0.6543 0.5377 0.2231 Zn
0.0109 0.3409 0.6383 Sn
0.2207 0.7441 0.7595 Br
0.2733 0.1839 0.4501 Br
0.2793 0.3911 0.0464 Br
0.7079 0.8573 0.5566 Br
0.7465 0.2447 0.2250 Br
0.8372 0.6260 0.0320 Br
```

Properties
raw formation energy = -1.10 eV/atom
total magnetic moment = 0.00 μB/atom
space-group type = No. 1
electronic total energy = -2.898 eV per atom

What did the first record say?
Material: TbCe2Rh
Method: DFT, PBE-GGA
State: optimized geometry

```
TbCe2Rh
1.0
1.8463 -5.6636 0.0000
1.8463 5.6636 0.0000
0.0000 0.0000 9.8648
Tb Ce Rh
2 4 2
Direct
0.0825 0.9175 0.7500 Tb
0.9175 0.0825 0.2500 Tb
0.3632 0.6368 0.5549 Ce
0.3632 0.6368 0.9451 Ce
0.6368 0.3632 0.0549 Ce
0.6368 0.3632 0.4451 Ce
0.2035 0.7965 0.2500 Rh
0.7965 0.2035 0.7500 Rh
```

Properties
total magnetic moment = 0.20 μB/atom
DFT formation energy = -0.392 eV/atom
space-group type = No. 63
excess energy over the best structure of this formula in the dataset = 0 meV/atom
electronic total energy = -6.354 eV per atom

> What is the electronic total energy in the first record?

-6.354 eV per atom